Record 1
This record from the Alexandria database describes a relaxed KTaNi crystal. The functional is GGA-PBE.

a = 4.567 Å, b = 4.567 Å, c = 4.567 Å
α = 60.00°, β = 60.00°, γ = 60.00°
Fractional positions:
K (0.500, 0.500, 0.500)
Ni (0.250, 0.250, 0.250)
Ta (0.000, 0.000, 0.000)

Summary:
Calculated density: 6.87 g/cm3
Total magnetic moment: 0.00 μB/cell
Symmetry: F-43m, No. 216
ΔE to the lowest computed polymorph: 1.0573 eV/atom
Formation energy from the elements: 5.0 eV/f.u.
E_tot: -4.575 eV/atom

Record 2
This record from the Alexandria database describes a relaxed TaCo2Ru crystal. The functional is GGA-PBE.

a = 8.744 Å, b = 8.744 Å, c = 8.744 Å
α = 17.89°, β = 17.89°, γ = 17.89°
Fractional positions:
Co (0.994, 0.994, 0.994)
Co (0.253, 0.253, 0.253)
Ru (0.506, 0.506, 0.506)
Ta (0.747, 0.747, 0.747)

Summary:
Calculated density: 12.05 g/cm3
Total magnetic moment: 2.95 μB/cell
Symmetry: R3m, No. 160
ΔE to the lowest computed polymorph: 0.4336 eV/atom
Formation energy from the elements: 0.9 eV/f.u.
E_tot: -8.617 eV/atom

Record 3
This record from the Alexandria database describes a relaxed CaPr6Dy4 crystal. The functional is GGA-PBE.

a = 8.621 Å, b = 8.621 Å, c = 8.621 Å
α = 83.06°, β = 124.08°, γ = 124.08°
Fractional positions:
Ca (0.000, 0.000, 0.000)
Pr (0.000, 0.743, 0.407)
Pr (0.000, 0.407, 0.743)
Pr (0.336, 0.593, 0.593)
Pr (0.500, 0.500, 0.000)
Pr (0.664, 0.257, 0.257)
Pr (0.500, 0.000, 0.500)
Dy (0.000, 0.547, 0.076)
Dy (0.529, 0.453, 0.453)
Dy (0.000, 0.076, 0.547)
Dy (0.471, 0.924, 0.924)

Summary:
Calculated density: 6.05 g/cm3
Total magnetic moment: 0.00 μB/cell
Symmetry: I-42m, No. 121
Formation energy from the elements: 4.7 eV/f.u.
E_tot: -4.039 eV/atom

Record 4
This record from the Alexandria database describes a relaxed Rb2NbTlS crystal. The functional is GGA-PBE.

a = 6.304 Å, b = 5.689 Å, c = 6.304 Å
α = 90.00°, β = 90.00°, γ = 90.00°
Fractional positions:
S (0.000, 0.000, 0.000)
Tl (0.000, 0.500, 0.000)
Nb (0.500, 0.500, 0.500)
Rb (0.000, 0.000, 0.500)
Rb (0.500, 0.000, 0.000)

Summary:
Calculated density: 3.67 g/cm3
Total magnetic moment: 4.69 μB/cell
Symmetry: P4/mmm, No. 123
E_tot: -2.982 eV/atom

Record 5
This record from the Alexandria database describes a relaxed Pm5Ho4Er2 crystal. The functional is GGA-PBE.

a = 7.048 Å, b = 6.869 Å, c = 10.209 Å
α = 60.01°, β = 69.81°, γ = 59.13°
Fractional positions:
Pm (0.224, 0.287, 0.821)
Pm (0.776, 0.713, 0.179)
Pm (0.000, 0.500, 0.500)
Pm (0.668, 0.287, 0.821)
Pm (0.332, 0.713, 0.179)
Ho (0.346, 0.810, 0.499)
Ho (0.654, 0.190, 0.501)
Ho (0.708, 0.736, 0.847)
Ho (0.292, 0.264, 0.153)
Er (0.169, 0.814, 0.847)
Er (0.831, 0.186, 0.153)

Summary:
Calculated density: 7.83 g/cm3
Total magnetic moment: 0.00 μB/cell
Symmetry: C2/m, No. 12
Formation energy from the elements: 1.8 eV/f.u.
E_tot: -4.491 eV/atom

Record 6
This record from the Alexandria database describes a relaxed KCrAu crystal. The functional is GGA-PBE.

a = 5.050 Å, b = 5.050 Å, c = 5.050 Å
α = 60.00°, β = 60.00°, γ = 60.00°
Fractional positions:
Au (0.750, 0.750, 0.750)
Cr (0.000, 0.000, 0.000)
K (0.500, 0.500, 0.500)

Summary:
Calculated density: 5.25 g/cm3
Total magnetic moment: 5.16 μB/cell
Symmetry: F-43m, No. 216
ΔE to the lowest computed polymorph: 0.3738 eV/atom
Formation energy from the elements: 1.9 eV/f.u.
E_tot: -4.024 eV/atom

Record 7
This record from the Alexandria database describes a relaxed PmEuSnI crystal. The functional is GGA-PBE.

a = 5.610 Å, b = 5.610 Å, c = 5.610 Å
α = 60.00°, β = 60.00°, γ = 60.00°
Fractional positions:
Eu (0.500, 0.500, 0.500)
I (0.750, 0.750, 0.750)
Sn (0.250, 0.250, 0.250)
Pm (0.000, 0.000, 0.000)

Summary:
Calculated density: 7.22 g/cm3
Total magnetic moment: 6.94 μB/cell
Symmetry: F-43m, No. 216
E_tot: -5.889 eV/atom

Record 8
This record from the Alexandria database describes a relaxed V2SbN crystal. The functional is GGA-PBE.

a = 4.285 Å, b = 4.285 Å, c = 4.285 Å
α = 60.00°, β = 60.00°, γ = 60.00°
Fractional positions:
Sb (0.500, 0.500, 0.500)
V (0.250, 0.250, 0.250)
V (0.750, 0.750, 0.750)
N (0.000, 0.000, 0.000)

Summary:
Calculated density: 7.09 g/cm3
Total magnetic moment: 0.00 μB/cell
Symmetry: Fm-3m, No. 225
ΔE to the lowest computed polymorph: 1.2967 eV/atom
E_tot: -6.954 eV/atom

Record 9
This record from the Alexandria database describes a relaxed Na2NdSnBi2 crystal. The functional is GGA-PBE.

a = 5.298 Å, b = 6.953 Å, c = 9.772 Å
α = 90.00°, β = 90.00°, γ = 90.00°
Fractional positions:
Na (0.500, 0.007, 0.999)
Na (0.000, 0.256, 0.150)
Na (0.500, 0.507, 0.001)
Na (0.000, 0.756, 0.850)
Nd (0.000, 0.008, 0.500)
Nd (0.000, 0.508, 0.500)
Sn (0.500, 0.260, 0.658)
Sn (0.500, 0.760, 0.342)
Bi (0.000, 0.257, 0.819)
Bi (0.500, 0.259, 0.331)
Bi (0.000, 0.757, 0.181)
Bi (0.500, 0.759, 0.669)

Summary:
Calculated density: 6.71 g/cm3
Total magnetic moment: 0.00 μB/cell
Symmetry: Pmc2_1, No. 26
Formation energy from the elements: -2.3 eV/f.u.
E_tot: -3.576 eV/atom

Record 10
This record from the Alexandria database describes a relaxed TlSiPt2 crystal. The functional is GGA-PBE.

a = 3.126 Å, b = 5.303 Å, c = 5.485 Å
α = 50.39°, β = 90.00°, γ = 90.00°
Fractional positions:
Pt (0.000, 0.000, 0.000)
Pt (0.500, 0.500, 0.000)
Si (0.500, 0.500, 0.500)
Tl (0.000, 0.000, 0.500)

Summary:
Calculated density: 14.76 g/cm3
Total magnetic moment: 0.00 μB/cell
Symmetry: P2/m, No. 10
E_tot: -4.865 eV/atom

Record 11
This record from the Alexandria database describes a relaxed PmGdLuGa crystal. The functional is GGA-PBE.

a = 5.344 Å, b = 5.344 Å, c = 5.344 Å
α = 60.00°, β = 60.00°, γ = 60.00°
Fractional positions:
Gd (0.500, 0.500, 0.500)
Lu (0.750, 0.750, 0.750)
Ga (0.250, 0.250, 0.250)
Pm (0.000, 0.000, 0.000)

Summary:
Calculated density: 8.41 g/cm3
Total magnetic moment: 8.06 μB/cell
Symmetry: F-43m, No. 216
Formation energy from the elements: -0.5 eV/f.u.
E_tot: -6.724 eV/atom

Record 12
This record from the Alexandria database describes a relaxed Hf2VPd crystal. The functional is GGA-PBE.

a = 4.115 Å, b = 4.115 Å, c = 9.853 Å
α = 77.95°, β = 77.95°, γ = 90.00°
Fractional positions:
Hf (0.624, 0.125, 0.250)
Hf (0.126, 0.625, 0.250)
Hf (0.375, 0.376, 0.750)
Hf (0.875, 0.874, 0.750)
Pd (0.000, 0.000, 0.000)
Pd (0.750, 0.250, 0.500)
V (0.500, 0.500, 0.000)
V (0.250, 0.750, 0.500)

Summary:
Calculated density: 10.72 g/cm3
Total magnetic moment: 3.86 μB/cell
Symmetry: I-42d, No. 122
ΔE to the lowest computed polymorph: 0.7555 eV/atom
Formation energy from the elements: 1.7 eV/f.u.
E_tot: -8.137 eV/atom

Record 13
This record from the Alexandria database describes a relaxed Dy4Ir crystal. The functional is GGA-PBE.

a = 7.279 Å, b = 7.279 Å, c = 7.279 Å
α = 107.36°, β = 107.36°, γ = 113.78°
Fractional positions:
Dy (0.639, 0.466, 0.778)
Dy (0.688, 0.861, 0.222)
Dy (0.800, 0.021, 0.827)
Dy (0.195, 0.973, 0.173)
Dy (0.271, 0.550, 0.327)
Dy (0.223, 0.945, 0.673)
Dy (0.111, 0.438, 0.722)
Dy (0.716, 0.389, 0.278)
Ir (0.330, 0.330, 0.000)
Ir (0.580, 0.080, 0.500)

Summary:
Calculated density: 9.46 g/cm3
Total magnetic moment: 0.93 μB/cell
Symmetry: I-42d, No. 122
ΔE to the lowest computed polymorph: 0.0000 eV/atom
Formation energy from the elements: -2.0 eV/f.u.
E_tot: -5.857 eV/atom

Record 14
This record from the Alexandria database describes a relaxed InSiTeN2 crystal. The functional is GGA-PBE.

a = 3.819 Å, b = 3.819 Å, c = 5.743 Å
α = 90.00°, β = 90.00°, γ = 90.00°
Fractional positions:
N (0.000, 0.500, 0.000)
N (0.500, 0.000, 0.000)
Si (0.000, 0.000, 0.000)
Te (0.000, 0.000, 0.500)
In (0.500, 0.500, 0.500)

Summary:
Calculated density: 5.92 g/cm3
Total magnetic moment: 0.44 μB/cell
Symmetry: P4/mmm, No. 123
ΔE to the lowest computed polymorph: 0.0000 eV/atom
E_tot: -4.765 eV/atom

Record 15
This record from the Alexandria database describes a relaxed SmBiPdRh crystal. The functional is GGA-PBE.

a = 4.913 Å, b = 4.913 Å, c = 4.913 Å
α = 60.00°, β = 60.00°, γ = 60.00°
Fractional positions:
Pd (0.000, 0.000, 0.000)
Rh (0.500, 0.500, 0.500)
Bi (0.750, 0.750, 0.750)
Sm (0.250, 0.250, 0.250)

Summary:
Calculated density: 11.26 g/cm3
Total magnetic moment: 0.00 μB/cell
Symmetry: F-43m, No. 216
Formation energy from the elements: -2.3 eV/f.u.
E_tot: -5.869 eV/atom

Record 16
This record from the Alexandria database describes a relaxed CrAuBr2 crystal. The functional is GGA-PBE.

a = 10.032 Å, b = 10.032 Å, c = 10.032 Å
α = 20.17°, β = 20.17°, γ = 20.17°
Fractional positions:
Cr (0.500, 0.500, 0.500)
Au (0.000, 0.000, 0.000)
Br (0.888, 0.888, 0.888)
Br (0.112, 0.112, 0.112)

Summary:
Calculated density: 6.46 g/cm3
Total magnetic moment: 3.86 μB/cell
Symmetry: R-3m, No. 166
ΔE to the lowest computed polymorph: 0.2205 eV/atom
E_tot: -4.062 eV/atom

Record 17
This record from the Alexandria database describes a relaxed Ac6P3Se2I crystal. The functional is GGA-PBE.

a = 4.446 Å, b = 9.129 Å, c = 10.132 Å
α = 104.64°, β = 102.67°, γ = 90.00°
Fractional positions:
Ac (0.322, 0.924, 0.644)
Ac (0.663, 0.594, 0.326)
Ac (0.678, 0.076, 0.356)
Ac (0.996, 0.279, 0.992)
Ac (0.004, 0.721, 0.008)
Ac (0.337, 0.406, 0.674)
P (0.500, 0.500, 0.000)
P (0.835, 0.168, 0.671)
P (0.165, 0.832, 0.329)
Se (0.834, 0.669, 0.668)
Se (0.166, 0.331, 0.332)
I (0.500, 0.000, 0.000)

Summary:
Calculated density: 7.46 g/cm3
Total magnetic moment: 0.00 μB/cell
Symmetry: C2/m, No. 12
E_tot: -5.709 eV/atom

Record 18
This record from the Alexandria database describes a relaxed Ho4Al3Tl crystal. The functional is GGA-PBE.

a = 3.605 Å, b = 3.605 Å, c = 14.812 Å
α = 90.00°, β = 90.00°, γ = 90.00°
Fractional positions:
Tl (0.500, 0.500, 0.000)
Ho (0.000, 0.000, 0.861)
Ho (0.000, 0.000, 0.139)
Ho (0.000, 0.000, 0.381)
Ho (0.000, 0.000, 0.619)
Al (0.500, 0.500, 0.260)
Al (0.500, 0.500, 0.500)
Al (0.500, 0.500, 0.740)

Summary:
Calculated density: 8.15 g/cm3
Total magnetic moment: 0.00 μB/cell
Symmetry: P4/mmm, No. 123
ΔE to the lowest computed polymorph: 0.0000 eV/atom
Formation energy from the elements: -3.0 eV/f.u.
E_tot: -4.367 eV/atom

Record 19
This record from the Alexandria database describes a relaxed Ac8InCo2 crystal. The functional is GGA-PBE.

a = 5.630 Å, b = 8.835 Å, c = 8.835 Å
α = 81.19°, β = 93.29°, γ = 93.29°
Fractional positions:
Ac (0.204, 0.371, 0.890)
Ac (0.796, 0.110, 0.629)
Ac (0.341, 0.817, 0.817)
Ac (0.659, 0.183, 0.183)
Ac (0.204, 0.890, 0.371)
Ac (0.796, 0.629, 0.110)
Ac (0.753, 0.597, 0.597)
Ac (0.247, 0.403, 0.403)
In (0.000, 0.000, 0.000)
Co (0.845, 0.807, 0.807)
Co (0.155, 0.193, 0.193)

Summary:
Calculated density: 7.86 g/cm3
Total magnetic moment: 0.00 μB/cell
Symmetry: C2/m, No. 12
ΔE to the lowest computed polymorph: 0.0783 eV/atom
Formation energy from the elements: 1.0 eV/f.u.
E_tot: -4.436 eV/atom

Record 20
This record from the Alexandria database describes a relaxed Ti4ZnIr2 crystal. The functional is GGA-PBE.

a = 4.138 Å, b = 4.138 Å, c = 9.039 Å
α = 76.77°, β = 76.77°, γ = 60.00°
Fractional positions:
Ti (0.391, 0.391, 0.827)
Ti (0.201, 0.201, 0.396)
Ti (0.799, 0.799, 0.604)
Ti (0.609, 0.609, 0.173)
Zn (0.000, 0.000, 0.000)
Ir (0.098, 0.098, 0.706)
Ir (0.902, 0.902, 0.294)

Summary:
Calculated density: 8.24 g/cm3
Total magnetic moment: 0.00 μB/cell
Symmetry: R-3m, No. 166
ΔE to the lowest computed polymorph: 0.2164 eV/atom
Formation energy from the elements: -2.2 eV/f.u.
E_tot: -7.533 eV/atom

Record 21
This record from the Alexandria database describes a relaxed MoP2ICl crystal. The functional is GGA-PBE.

a = 5.208 Å, b = 5.208 Å, c = 5.123 Å
α = 90.00°, β = 90.00°, γ = 90.00°
Fractional positions:
I (0.000, 0.000, 0.000)
P (0.000, 0.500, 0.000)
P (0.500, 0.000, 0.000)
Mo (0.500, 0.500, 0.500)
Cl (0.000, 0.000, 0.500)

Summary:
Calculated density: 3.83 g/cm3
Total magnetic moment: 3.24 μB/cell
Symmetry: P4/mmm, No. 123
ΔE to the lowest computed polymorph: 1.4729 eV/atom
E_tot: -3.293 eV/atom

Record 22
This record from the Alexandria database describes a relaxed InC3F crystal. The functional is GGA-PBE.

a = 4.429 Å, b = 4.429 Å, c = 4.429 Å
α = 90.00°, β = 90.00°, γ = 90.00°
Fractional positions:
C (0.000, 0.500, 0.000)
C (0.500, 0.000, 0.000)
C (0.000, 0.000, 0.500)
F (0.500, 0.500, 0.500)
In (0.000, 0.000, 0.000)

Summary:
Calculated density: 3.25 g/cm3
Total magnetic moment: 3.06 μB/cell
Symmetry: Pm-3m, No. 221
ΔE to the lowest computed polymorph: 0.2559 eV/atom
E_tot: -3.255 eV/atom

Record 23
This record from the Alexandria database describes a relaxed MgNi crystal. The functional is GGA-PBE.

a = 4.129 Å, b = 4.129 Å, c = 4.619 Å
α = 90.00°, β = 90.00°, γ = 120.00°
Fractional positions:
Mg (0.333, 0.667, 0.250)
Mg (0.667, 0.333, 0.750)
Ni (0.000, 0.000, 0.000)
Ni (0.000, 0.000, 0.500)

Summary:
Calculated density: 4.04 g/cm3
Total magnetic moment: 0.26 μB/cell
Symmetry: P6_3/mmc, No. 194
Formation energy from the elements: 0.2 eV/f.u.
E_tot: -3.605 eV/atom

Record 24
This record from the Alexandria database describes a relaxed Be2ZnRu crystal. The functional is GGA-PBE.

a = 7.999 Å, b = 7.999 Å, c = 7.999 Å
α = 19.12°, β = 19.12°, γ = 19.12°
Fractional positions:
Ru (0.250, 0.250, 0.250)
Zn (0.750, 0.750, 0.750)
Be (0.994, 0.994, 0.994)
Be (0.506, 0.506, 0.506)

Summary:
Calculated density: 6.38 g/cm3
Total magnetic moment: 0.10 μB/cell
Symmetry: R-3m, No. 166
Formation energy from the elements: 0.5 eV/f.u.
E_tot: -4.364 eV/atom

Record 25
This record from the Alexandria database describes a relaxed TmTl2BiS4 crystal. The functional is GGA-PBE.

a = 4.054 Å, b = 7.070 Å, c = 7.836 Å
α = 107.29°, β = 90.00°, γ = 90.00°
Fractional positions:
Tm (0.000, 0.000, 0.000)
Tl (0.500, 0.000, 0.500)
Tl (0.000, 0.500, 0.500)
Bi (0.500, 0.500, 0.000)
S (0.500, 0.223, 0.198)
S (0.500, 0.777, 0.802)
S (0.000, 0.254, 0.795)
S (0.000, 0.746, 0.205)

Summary:
Calculated density: 7.08 g/cm3
Total magnetic moment: 0.00 μB/cell
Symmetry: P2/m, No. 10
E_tot: -4.651 eV/atom

Record 26
This record from the Alexandria database describes a relaxed NdHoZnIr crystal. The functional is GGA-PBE.

a = 3.942 Å, b = 4.382 Å, c = 5.752 Å
α = 90.00°, β = 110.04°, γ = 90.00°
Fractional positions:
Nd (0.143, 0.000, 0.286)
Ho (0.862, 0.500, 0.725)
Zn (0.568, 0.500, 0.136)
Ir (0.427, 0.000, 0.853)

Summary:
Calculated density: 10.08 g/cm3
Total magnetic moment: 0.00 μB/cell
Symmetry: Amm2, No. 38
ΔE to the lowest computed polymorph: 0.0000 eV/atom
Formation energy from the elements: -2.2 eV/f.u.
E_tot: -5.428 eV/atom

Record 27
This record from the Alexandria database describes a relaxed SmDyAlHg crystal. The functional is GGA-PBE.

a = 5.263 Å, b = 5.263 Å, c = 5.263 Å
α = 60.00°, β = 60.00°, γ = 60.00°
Fractional positions:
Al (0.250, 0.250, 0.250)
Hg (0.750, 0.750, 0.750)
Sm (0.000, 0.000, 0.000)
Dy (0.500, 0.500, 0.500)

Summary:
Calculated density: 8.70 g/cm3
Total magnetic moment: 0.00 μB/cell
Symmetry: F-43m, No. 216
ΔE to the lowest computed polymorph: 0.0397 eV/atom
Formation energy from the elements: -1.6 eV/f.u.
E_tot: -3.735 eV/atom